Density functional theory data (PBE-GGA) for LaSe3 after structural relaxation.

Values from the calculation:
Formation energy (no corrections) (eV per atom): -0.813

Lattice parameters (Å, degrees): 5.369 5.369 5.369 55.69 55.69 55.69
Sites, in units of the cell vectors:
La 0.000 0.000 0.000
Se 0.770 0.770 0.770
Se 0.500 0.500 0.500
Se 0.230 0.230 0.230